No. 1
Tl12HgSb7: relaxed, PBE-GGA. Values from VASP.

- Excess energy over the best structure of this formula in the dataset: 0.018 eV per atom
- Formation energy from raw total energies: 0.0395 eV per atom
- Crystal system: trigonal

```
&SYSTEM
  ibrav = 0, nat = 20, ntyp = 3
/
ATOMIC_SPECIES
Tl 204.38 Tl.upf
Hg 200.59 Hg.upf
Sb 121.76 Sb.upf
CELL_PARAMETERS angstrom
7.5195 4.3414 3.2762
-7.5195 4.3414 3.2762
0.0000 -8.6828 3.2762
ATOMIC_POSITIONS angstrom
Tl -2.3436 0.5840 2.3395
Tl -1.4555 -5.1985 4.0361
Tl -5.2298 -1.3387 5.7925
Tl 0.6661 -2.3216 2.3395
Tl -3.7742 3.8598 4.0361
Tl 1.6775 1.7376 2.3395
Tl -1.6775 -1.7376 7.4891
Tl 3.7742 -3.8598 5.7925
Tl -0.6661 2.3216 7.4891
Tl 5.2298 1.3387 4.0361
Tl 1.4556 5.1985 5.7925
Tl 2.3436 -0.5840 7.4891
Hg 0.0000 0.0000 4.9143
Sb 0.0000 0.0000 0.0000
Sb -2.4986 -2.1266 4.0489
Sb -3.0910 1.1005 5.7796
Sb -0.5924 3.2271 4.0489
Sb 0.5924 -3.2271 5.7796
Sb 3.0910 -1.1005 4.0489
Sb 2.4986 2.1266 5.7796
```


No. 2
K5PS4F2: relaxed, PBE-GGA. Values from VASP.

- Formation energy from raw total energies: -1.5356 eV per atom
- Crystal system: orthorhombic

```
&SYSTEM
  ibrav = 0, nat = 12, ntyp = 4
/
ATOMIC_SPECIES
K 39.10 K.upf
P 30.97 P.upf
S 32.06 S.upf
F 19.00 F.upf
CELL_PARAMETERS angstrom
8.2341 0.0000 0.0000
0.0000 5.8129 3.5409
0.0000 -5.8129 3.5409
ATOMIC_POSITIONS angstrom
K 0.0000 0.0000 0.0000
K 1.8831 -2.3896 4.2443
K 1.8831 2.3896 4.2443
K 6.3510 -2.3896 4.2443
K 6.3510 2.3896 4.2443
P 4.1171 0.0000 0.7399
S 2.4294 0.0000 1.9329
S 4.1171 -4.1714 3.0323
S 4.1171 4.1714 3.0323
S 5.8048 0.0000 1.9329
F 0.0000 -3.4489 2.5447
F 0.0000 3.4489 2.5447
```


no.,N(E_F) (states/eV/cell),theoretical density (g/cm³)
1,9.2,9.1
2,0.0,1.9